# 1
Compound: Pm2CoCu3Ni12
Source: Alexandria via LeMat-Bulk
Functional: GGA-PBE
Structure: relaxed

Results
The value obtained for the formation energy is 0.25 eV per atom. For the theoretical density, the calculation gives 7.88 g/cm³.

a b c (Å): 9.1489 9.1489 9.1489
angles (deg): 38.13 38.13 38.13
Last column: nearest neighbours and their distance in Å.
Element x y z (fractional)
Ni  0.5788  0.1876  0.5788  4 Ni 2.34-2.35, 2 Cu 2.34
Ni  0.4212  0.8124  0.4212  4 Ni 2.34-2.35, 2 Cu 2.34
Ni  0.0687  0.6513  0.0687  1 Co 2.30, 4 Ni 2.35-2.49, 1 Cu 2.46
Ni  0.9313  0.9313  0.3487  1 Co 2.30, 4 Ni 2.35-2.49, 1 Cu 2.46
Ni  0.3487  0.9313  0.9313  1 Co 2.30, 4 Ni 2.35-2.49, 1 Cu 2.46
Ni  0.1876  0.5788  0.5788  4 Ni 2.34-2.35, 2 Cu 2.34
Ni  0.8124  0.4212  0.4212  4 Ni 2.34-2.35, 2 Cu 2.34
Ni  0.9313  0.3487  0.9313  1 Co 2.30, 4 Ni 2.35-2.49, 1 Cu 2.46
Ni  0.5788  0.5788  0.1876  4 Ni 2.34-2.35, 2 Cu 2.34
Ni  0.4212  0.4212  0.8124  4 Ni 2.34-2.35, 2 Cu 2.34
Ni  0.6513  0.0687  0.0687  1 Co 2.30, 4 Ni 2.35-2.49, 1 Cu 2.46
Ni  0.0687  0.0687  0.6513  1 Co 2.30, 4 Ni 2.35-2.49, 1 Cu 2.46
Pm  0.6534  0.6534  0.6534  6 Ni 2.92-2.93
Pm  0.3466  0.3466  0.3466  6 Ni 2.92-2.93
Co  0.0000  0.0000  0.0000  6 Ni 2.30
Cu  0.5000  0.0000  0.0000  6 Ni 2.34-2.46
Cu  0.0000  0.0000  0.5000  6 Ni 2.34-2.46
Cu  0.0000  0.5000  0.0000  6 Ni 2.34-2.46


# 2
Compound: RbTeH
Source: Alexandria via LeMat-Bulk
Functional: GGA-PBE
Structure: relaxed

Results
For the theoretical density, the calculation gives 3.82 g/cm³. The total energy comes out at -0.2210 Ry/atom.

a b c (Å): 6.0647 6.5407 6.5406
angles (deg): 57.78 62.38 62.38
Last column: nearest neighbours and their distance in Å.
Element x y z (fractional)
Te  0.7277  0.5461  0.6764  1 H 1.71
Te  0.2277  0.9895  0.2331  1 H 1.71
H  0.4165  0.1909  0.0317  1 Te 1.71
H  0.9165  0.3447  0.8779  1 Te 1.71
Rb  0.9881  0.7678  0.9548  4 H 3.30-3.37
Rb  0.4881  0.2678  0.4548  4 H 3.30-3.37


# 3
Compound: MgFeCo2
Source: Alexandria via LeMat-Bulk
Functional: GGA-PBE
Structure: relaxed

Results
The value obtained for the formation energy is 0.15 eV per atom. For the theoretical density, the calculation gives 6.52 g/cm³.

a b c (Å): 4.0457 2.5743 4.9657
angles (deg): 77.20 90.00 90.00
Last column: nearest neighbours and their distance in Å.
Element x y z (fractional)
Mg  0.5000  0.7497  0.7545  4 Co 2.52-2.58, 2 Mg 2.57, 2 Fe 2.63
Co  0.5000  0.2554  0.2529  2 Fe 2.44, 4 Co 2.48-2.57, 2 Mg 2.52-2.54
Co  0.0000  0.0283  0.0122  2 Fe 2.45-2.63, 4 Co 2.48-2.57, 2 Mg 2.58
Fe  0.0000  0.4666  0.4803  4 Co 2.44-2.63, 2 Fe 2.57, 2 Mg 2.63


# 4
Compound: ZnCrAs2
Source: Alexandria via LeMat-Bulk
Functional: GGA-PBE
Structure: relaxed

Results
The value obtained for the formation energy is 0.04 eV per atom. For the theoretical density, the calculation gives 6.23 g/cm³.

a b c (Å): 3.6184 3.6184 6.6220
angles (deg): 74.14 74.14 60.00
Last column: nearest neighbours and their distance in Å.
Element x y z (fractional)
Zn  0.7500  0.7500  0.7500  6 As 2.69
Cr  0.2500  0.2500  0.2500  6 As 2.54
As  0.9935  0.9935  0.0190  3 Cr 2.54, 3 Zn 2.69
As  0.5065  0.5065  0.4810  3 Cr 2.54, 3 Zn 2.69


# 5
Compound: Tb6Ho8Sc
Source: Alexandria via LeMat-Bulk
Functional: GGA-PBE
Structure: relaxed

Results
The value obtained for the formation energy is 0.12 eV per atom. The polymorph energy (0 for the lowest one) is 0.0 meV/atom. For the theoretical density, the calculation gives 8.12 g/cm³.

a b c (Å): 8.9758 8.9758 8.5440
angles (deg): 58.31 58.31 60.00
Last column: nearest neighbours and their distance in Å.
Element x y z (fractional)
Tb  0.4565  0.8903  0.8766  4 Ho 3.34-3.66, 1 Sc 3.37, 4 Tb 3.50-3.67
Tb  0.2233  0.5435  0.1234  4 Ho 3.34-3.66, 1 Sc 3.37, 4 Tb 3.50-3.67
Tb  0.5435  0.1097  0.1234  4 Ho 3.34-3.66, 1 Sc 3.37, 4 Tb 3.50-3.67
Tb  0.1097  0.2233  0.1234  4 Ho 3.34-3.66, 1 Sc 3.37, 4 Tb 3.50-3.67
Tb  0.7767  0.4565  0.8766  4 Ho 3.34-3.66, 1 Sc 3.37, 4 Tb 3.50-3.67
Tb  0.8903  0.7767  0.8766  4 Ho 3.34-3.66, 1 Sc 3.37, 4 Tb 3.50-3.67
Ho  0.8902  0.2538  0.5779  3 Tb 3.34-3.66, 5 Ho 3.38-3.41, 1 Sc 3.47
Ho  0.2538  0.2782  0.5779  3 Tb 3.34-3.66, 5 Ho 3.38-3.41, 1 Sc 3.47
Ho  0.4233  0.4233  0.7302  4 Ho 3.13-3.40, 3 Tb 3.35
Ho  0.5767  0.5767  0.2698  4 Ho 3.13-3.40, 3 Tb 3.35
Ho  0.2782  0.8902  0.5779  3 Tb 3.34-3.66, 5 Ho 3.38-3.41, 1 Sc 3.47
Ho  0.7462  0.7218  0.4221  3 Tb 3.34-3.66, 5 Ho 3.38-3.41, 1 Sc 3.47
Ho  0.1098  0.7462  0.4221  3 Tb 3.34-3.66, 5 Ho 3.38-3.41, 1 Sc 3.47
Ho  0.7218  0.1098  0.4221  3 Tb 3.34-3.66, 5 Ho 3.38-3.41, 1 Sc 3.47
Sc  0.0000  0.0000  0.0000  6 Tb 3.37, 6 Ho 3.47


# 6
Compound: NaInCuTe2
Source: Alexandria via LeMat-Bulk
Functional: GGA-PBE
Structure: relaxed

Results
For the theoretical density, the calculation gives 4.83 g/cm³. As for the formation energy from raw total energies: 0.50 eV per atom.

a b c (Å): 5.6424 4.9321 5.6424
angles (deg): 90.00 90.00 90.00
Last column: nearest neighbours and their distance in Å.
Element x y z (fractional)
Na  0.0000  0.0000  0.0000  2 Cu 2.47
Te  0.0000  0.0000  0.5000  2 Na 2.82
Te  0.5000  0.0000  0.0000  2 Na 2.82
In  0.5000  0.5000  0.5000  8 Te 3.75, 4 Cu 3.99
Cu  0.0000  0.5000  0.0000  2 Na 2.47